Entry 1:
LiNbTl2: relaxed, GGA-PBE.

Lattice parameters (Å, degrees): 4.4431 4.4431 10.1541 77.36 77.36 90.00
Sites, in units of the cell vectors:
Tl  0.6264  0.1250  0.2500
Tl  0.1236  0.6250  0.2500
Tl  0.3750  0.3736  0.7500
Tl  0.8750  0.8764  0.7500
Nb  0.0000  0.0000  0.0000
Nb  0.7500  0.2500  0.5000
Li  0.5000  0.5000  0.0000
Li  0.2500  0.7500  0.5000

- DFT total energy (eV for the cell shown) = -28.22
- energy of formation (eV per atom) = 0.65



Entry 2:
Li2Nb2V: relaxed, GGA-PBE.

Lattice parameters (Å, degrees): 3.8177 3.8177 6.2812 72.31 72.31 90.00
Last column: magnetic moment on the atom in μB.
Sites, in units of the cell vectors:
Nb  0.7500  0.2500  0.5000  -0.13
Nb  0.2500  0.7500  0.5000  -0.13
V  0.0000  0.0000  0.0000  2.41
Li  0.4154  0.4154  0.1692  0.05
Li  0.5846  0.5846  0.8308  0.05

- energy relative to the lowest polymorph listed for this composition (meV/atom) = 128
- DFT total energy (eV for the cell shown) = -29.29
- energy of formation (eV per atom) = 0.76



Entry 3:
Li2NbV2: relaxed, GGA-PBE.

Lattice parameters (Å, degrees): 7.4657 7.4657 2.6072 90.00 90.00 90.00
Sites, in units of the cell vectors:
Nb  0.0000  0.0000  0.0000
Nb  0.5000  0.5000  0.0000
V  0.3936  0.8936  0.0000
V  0.8936  0.6064  0.0000
V  0.6064  0.1064  0.0000
V  0.1064  0.3936  0.0000
Li  0.1893  0.6893  0.5000
Li  0.6893  0.8107  0.5000
Li  0.8107  0.3107  0.5000
Li  0.3107  0.1893  0.5000

- DFT total energy (eV for the cell shown) = -57.96
- energy of formation (eV per atom) = 0.63



Entry 4:
LiNbV3: relaxed, GGA-PBE.

Lattice parameters (Å, degrees): 4.1808 4.1808 4.1808 90.00 90.00 90.00
Sites, in units of the cell vectors:
Nb  0.5000  0.5000  0.5000
V  0.0000  0.5000  0.0000
V  0.0000  0.0000  0.5000
V  0.5000  0.0000  0.0000
Li  0.0000  0.0000  0.0000

- energy relative to the lowest polymorph listed for this composition (meV/atom) = 0
- DFT total energy (eV for the cell shown) = -33.95
- energy of formation (eV per atom) = 1.08